Record 1
Material: ThZnSnPt
Method: DFT, PBE
State: relaxed

Total magnetization in μB per formula unit: 0.00
Symmetry: No. 216

Structure (extended XYZ):
```
4
Lattice="0.000 3.513 3.513 3.513 0.000 3.513 3.513 3.513 0.000" Properties=species:S:1:pos:R:3 pbc="T T T"
Th 0.000 0.000 0.000
Zn 5.270 5.270 5.270
Sn 3.513 3.513 3.513
Pt 1.757 1.757 1.757
```



Record 2
Material: ThZnSnPt3
Method: DFT, PBE
State: relaxed

Total magnetization in μB per formula unit: 0.00
Symmetry: No. 63

Structure (extended XYZ):
```
12
Lattice="2.831 -6.062 0.000 2.831 6.062 0.000 0.000 0.000 7.463" Properties=species:S:1:pos:R:3 pbc="T T T"
Th 2.831 4.097 5.597
Th 2.831 -4.097 1.866
Zn 2.831 0.917 5.597
Zn 2.831 -0.917 1.866
Sn 2.831 4.455 1.866
Sn 2.831 -4.455 5.597
Pt 1.387 0.000 0.000
Pt 1.387 0.000 3.732
Pt 2.831 1.845 1.866
Pt 2.831 -1.845 5.597
Pt 4.275 0.000 0.000
Pt 4.275 0.000 3.732
```



Record 3
Material: TiSnPt2
Method: DFT, PBE
State: relaxed

Total magnetization in μB per formula unit: 0.20
Symmetry: No. 123

Structure (extended XYZ):
```
4
Lattice="4.076 0.000 0.000 0.000 4.076 0.000 0.000 0.000 4.075" Properties=species:S:1:pos:R:3 pbc="T T T"
Ti 0.000 0.000 0.000
Sn 2.038 2.038 0.000
Pt 0.000 2.038 2.038
Pt 2.038 0.000 2.038
```



Record 4
Material: Ti3SnPt
Method: DFT, PBE
State: relaxed

Total magnetization in μB per formula unit: 0.00
Symmetry: No. 221

Structure (extended XYZ):
```
5
Lattice="4.804 0.000 0.000 0.000 4.804 0.000 0.000 0.000 4.804" Properties=species:S:1:pos:R:3 pbc="T T T"
Ti 0.000 0.000 2.402
Ti 0.000 2.402 0.000
Ti 2.402 0.000 0.000
Sn 2.402 2.402 2.402
Pt 0.000 0.000 0.000
```



Record 5
Material: TiSnPt2
Method: DFT, PBE
State: relaxed

Total magnetization in μB per formula unit: 0.00
Symmetry: No. 122

Structure (extended XYZ):
```
8
Lattice="-2.938 2.938 5.819 2.938 -2.938 5.819 2.938 2.938 -5.819" Properties=species:S:1:pos:R:3 pbc="T T T"
Ti 0.000 0.000 0.000
Ti 0.000 2.938 2.909
Sn 2.938 0.000 2.909
Sn 0.000 0.000 5.819
Pt 4.408 1.339 -1.455
Pt 1.339 1.469 1.455
Pt -1.469 1.599 4.364
Pt 1.599 1.469 7.273
```



Record 6
Material: Ti6SnPt
Method: DFT, PBE
State: relaxed

Total magnetization in μB per formula unit: 0.00
Symmetry: No. 38

Structure (extended XYZ):
```
8
Lattice="4.652 0.000 0.000 0.000 3.122 4.740 0.000 -3.122 4.740" Properties=species:S:1:pos:R:3 pbc="T T T"
Ti 0.000 0.000 0.000
Ti 0.000 -1.349 2.726
Ti 0.000 1.349 2.726
Ti 2.326 -1.545 4.752
Ti 2.326 1.545 4.752
Ti 2.326 0.000 7.323
Sn 0.000 0.000 5.280
Pt 2.326 0.000 2.184
```



Record 7
Material: TiSn2Pt9
Method: DFT, PBE
State: relaxed

Total magnetization in μB per formula unit: 0.00
Symmetry: No. 123

Structure (extended XYZ):
```
12
Lattice="4.020 0.000 0.000 0.000 4.020 0.000 0.000 0.000 12.089" Properties=species:S:1:pos:R:3 pbc="T T T"
Ti 0.000 0.000 0.000
Sn 0.000 0.000 3.996
Sn 0.000 0.000 8.093
Pt 0.000 2.010 1.894
Pt 0.000 2.010 6.045
Pt 0.000 2.010 10.195
Pt 2.010 0.000 1.894
Pt 2.010 0.000 6.045
Pt 2.010 0.000 10.195
Pt 2.010 2.010 0.000
Pt 2.010 2.010 3.982
Pt 2.010 2.010 8.107
```



Record 8
Material: Ti2SnPt
Method: DFT, PBE
State: relaxed

Total magnetization in μB per formula unit: 0.00
Symmetry: No. 123

Structure (extended XYZ):
```
4
Lattice="2.940 0.000 0.000 0.000 2.940 0.000 0.000 0.000 8.044" Properties=species:S:1:pos:R:3 pbc="T T T"
Ti 0.000 0.000 1.849
Ti 0.000 0.000 6.195
Sn 1.470 1.470 4.022
Pt 1.470 1.470 0.000
```



Record 9
Material: Ti2SnPt
Method: DFT, PBE
State: relaxed

Total magnetization in μB per formula unit: 0.00
Symmetry: No. 123

Structure (extended XYZ):
```
4
Lattice="4.041 0.000 0.000 0.000 4.041 0.000 0.000 0.000 4.203" Properties=species:S:1:pos:R:3 pbc="T T T"
Ti 0.000 2.020 0.000
Ti 2.020 0.000 0.000
Sn 0.000 0.000 2.102
Pt 2.020 2.020 2.102
```



Record 10
Material: TiSn2Pt
Method: DFT, PBE
State: relaxed

Total magnetization in μB per formula unit: 1.85
Symmetry: No. 225

Structure (extended XYZ):
```
4
Lattice="0.000 3.390 3.390 3.390 0.000 3.390 3.390 3.390 0.000" Properties=species:S:1:pos:R:3 pbc="T T T"
Ti 0.000 0.000 0.000
Sn 1.695 1.695 1.695
Sn 5.085 5.085 5.085
Pt 3.390 3.390 3.390
```



Record 11
Material: TiSnPt3
Method: DFT, PBE
State: relaxed

Total magnetization in μB per formula unit: 0.00
Symmetry: No. 221

Structure (extended XYZ):
```
5
Lattice="4.768 0.000 0.000 0.000 4.768 0.000 0.000 0.000 4.768" Properties=species:S:1:pos:R:3 pbc="T T T"
Ti 0.000 0.000 0.000
Sn 2.384 2.384 2.384
Pt 0.000 0.000 2.384
Pt 0.000 2.384 0.000
Pt 2.384 0.000 0.000
```



Record 12
Material: Ti4SnPt2
Method: DFT, PBE
State: relaxed

Total magnetization in μB per formula unit: 0.00
Symmetry: No. 166

Structure (extended XYZ):
```
7
Lattice="2.076 1.198 9.316 -2.076 1.198 9.316 0.000 -2.397 9.316" Properties=species:S:1:pos:R:3 pbc="T T T"
Ti 0.000 0.000 3.048
Ti 0.000 0.000 8.429
Ti 0.000 0.000 19.519
Ti 0.000 0.000 24.901
Sn 0.000 0.000 13.974
Pt 0.000 0.000 11.085
Pt 0.000 0.000 16.864
```



Record 13
Material: TiSnPt2
Method: DFT, PBE
State: relaxed

Total magnetization in μB per formula unit: 0.00
Symmetry: No. 166

Structure (extended XYZ):
```
4
Lattice="1.636 0.945 8.024 -1.636 0.945 8.024 0.000 -1.889 8.024" Properties=species:S:1:pos:R:3 pbc="T T T"
Ti 0.000 0.000 0.000
Sn 0.000 0.000 12.036
Pt 0.000 0.000 6.241
Pt 0.000 0.000 17.830
```



no.,E_tot (eV per cell),density of states at the Fermi level (states/eV/cell),energy of formation from the pure elements (eV/atom)
1,-21.32,1.71,-0.647
2,-69.47,3.54,-0.653
3,-26.34,3.90,-0.590
4,-33.43,4.41,0.061
5,-49.11,4.81,-0.144
6,-60.46,8.64,-0.380
7,-77.01,3.31,-0.562
8,-27.94,4.07,-0.526
9,-28.25,4.40,-0.605
10,-22.61,2.03,-0.167
11,-28.50,3.04,0.304
12,-50.33,8.56,-0.381
13,-25.84,2.56,-0.466